A relaxed structure of Mn2Ag4O, computed with GGA+U. Values from VASP.

```
&SYSTEM
  ibrav = 0, nat = 7, ntyp = 3
/
ATOMIC_SPECIES
Mn 54.94 Mn.upf
O 16.00 O.upf
Ag 107.87 Ag.upf
CELL_PARAMETERS angstrom
-1.5466 1.0296 3.9406
-3.8385 -1.7778 -1.0420
-0.4263 -6.7677 4.0092
ATOMIC_POSITIONS angstrom
Mn -3.7943 -5.2361 4.6955
Mn -2.0171 -2.2797 2.2123
O 0.0000 0.0000 0.0000
Ag -4.6242 -2.8948 3.7580
Ag -1.1872 -4.6211 3.1498
Ag -1.9192 -0.8889 -0.5210
Ag -0.7733 0.5148 1.9703
```

Results
The density of states at the Fermi level comes out at 2.26 states/eV/f.u. The total DFT energy (no corrections) comes out at -4.11 eV/atom.